No. 1
{"formula": "Cs3ThSn2O9", "functional": "PBE-GGA", "state": "relaxed", "mass_density_g_cm3": 6.6, "formation_energy_uncorrected_ev_per_atom": -1.641, "magnetic_moment_mub_per_cell": 3.075, "lattice_angstrom": [[-1.868, 5.012, -3.164], [-2.167, -5.621, -1.523], [-5.787, 0.913, 4.863]], "species": ["Cs", "Cs", "Cs", "Th", "Sn", "Sn", "O", "O", "O", "O", "O", "O", "O", "O", "O"], "frac_coords": [[0.333, 0.667, 0.669], [0.000, 0.000, 0.000], [0.667, 0.333, 0.331], [0.000, 0.000, 0.500], [0.333, 0.667, 0.162], [0.667, 0.333, 0.838], [0.826, 0.174, 0.680], [0.826, 0.652, 0.680], [0.348, 0.174, 0.680], [0.652, 0.826, 0.320], [0.174, 0.348, 0.320], [0.174, 0.826, 0.320], [0.500, 0.000, 0.000], [0.000, 0.500, 0.000], [0.500, 0.500, 0.000]]}

No. 2
{"formula": "Cs2Ti2SnO6", "functional": "PBE-GGA", "state": "relaxed", "mass_density_g_cm3": 4.8, "formation_energy_uncorrected_ev_per_atom": -2.131, "magnetic_moment_mub_per_cell": 0.042, "lattice_angstrom": [[6.086, 0.000, 0.000], [3.043, 5.271, 0.000], [3.043, 1.757, 6.190]], "species": ["Cs", "Cs", "Ti", "Ti", "Sn", "O", "O", "O", "O", "O", "O"], "frac_coords": [[0.784, 0.784, 0.648], [0.216, 0.216, 0.352], [0.418, 0.418, 0.747], [0.582, 0.582, 0.253], [0.000, 0.000, 0.000], [0.771, 0.771, 0.195], [0.264, 0.771, 0.195], [0.771, 0.264, 0.195], [0.229, 0.736, 0.805], [0.736, 0.229, 0.805], [0.229, 0.229, 0.805]]}

No. 3
{"formula": "CsTlSnO4", "functional": "PBE-GGA", "state": "relaxed", "mass_density_g_cm3": 6.0, "formation_energy_uncorrected_ev_per_atom": -1.160, "magnetic_moment_mub_per_cell": 0.000, "lattice_angstrom": [[5.996, 0.000, -0.810], [0.000, 6.126, 0.000], [-3.319, 0.000, 8.348]], "species": ["Cs", "Cs", "Tl", "Tl", "Sn", "Sn", "O", "O", "O", "O", "O", "O", "O", "O"], "frac_coords": [[0.544, 0.750, 0.892], [0.456, 0.250, 0.108], [0.805, 0.750, 0.461], [0.195, 0.250, 0.539], [0.224, 0.750, 0.340], [0.776, 0.250, 0.660], [0.022, 0.479, 0.668], [0.978, 0.979, 0.332], [0.978, 0.521, 0.332], [0.022, 0.021, 0.668], [0.396, 0.750, 0.203], [0.604, 0.250, 0.797], [0.537, 0.750, 0.568], [0.463, 0.250, 0.432]]}